Record 1
Material: AlBiPb
Method: DFT, PBE
State: relaxed

Computed properties:
Uncorrected energy ... -10.8 eV per formula unit
Polymorph energy (0 for the lowest one) ... 14 meV/atom
Formation energy ... 0.172 eV/atom

a b c (Å): 5.361 7.492 8.675
angles (deg): 90.00 90.00 90.00
Sites, in units of the cell vectors:
Pb: 0.250 0.844 0.474
Pb: 0.750 0.344 0.026
Pb: 0.250 0.656 0.974
Pb: 0.750 0.156 0.526
Bi: 0.750 0.869 0.235
Bi: 0.750 0.631 0.735
Bi: 0.250 0.131 0.765
Bi: 0.250 0.369 0.265
Al: 0.750 0.522 0.395
Al: 0.750 0.978 0.895
Al: 0.250 0.022 0.105
Al: 0.250 0.478 0.605

Record 2
Material: Sr2CoP
Method: DFT, PBE
State: relaxed

Computed properties:
Uncorrected energy ... -17.4 eV per formula unit
Formation energy ... -0.386 eV/atom

a b c (Å): 8.186 8.186 8.186
angles (deg): 151.19 150.00 42.07
Sites, in units of the cell vectors:
Co: 0.396 0.396 0.000
P: 0.349 0.849 0.500
Sr: 0.992 0.992 0.000
Sr: 0.763 0.263 0.500

Record 3
Material: K6P7
Method: DFT, PBE
State: relaxed

Computed properties:
Uncorrected energy ... -45.8 eV per formula unit
Formation energy ... -0.105 eV/atom

a b c (Å): 11.523 11.523 11.523
angles (deg): 33.16 33.16 33.16
Sites, in units of the cell vectors:
P: 0.456 0.796 0.456
P: 0.796 0.456 0.456
P: 0.456 0.456 0.796
P: 0.544 0.204 0.544
P: 0.544 0.544 0.204
P: 0.204 0.544 0.544
P: 0.500 0.500 0.500
K: 0.938 0.938 0.938
K: 0.062 0.062 0.062
K: 0.829 0.829 0.829
K: 0.171 0.171 0.171
K: 0.680 0.680 0.680
K: 0.320 0.320 0.320

Record 4
Material: BaSc2P
Method: DFT, PBE
State: relaxed

Computed properties:
Uncorrected energy ... -19.9 eV per formula unit
Formation energy ... 0.022 eV/atom

a b c (Å): 5.775 5.775 5.775
angles (deg): 133.60 133.60 67.72
Sites, in units of the cell vectors:
Ba: 0.500 0.500 0.000
Sc: 0.750 0.250 0.500
Sc: 0.250 0.750 0.500
P: 0.000 0.000 0.000

Question: What is the formation energy in the fourth record?
Answer: 0.022 eV/atom

Question: What is the formation energy in the first record?
Answer: 0.172 eV/atom

Question: Which value of uncorrected energy does entry 4 give?
Answer: -19.9 eV per formula unit